No. 1
Material: PuTh3Ni8
Method: DFT, PBE
State: relaxed

Summary:
The calculation puts the volume at 16.1 A^3/atom. The space group is No. 160. The energy relative to the elements comes out at -0.368 eV per atom.

abc: 5.151 5.151 8.917
angles: 73.21 73.21 60.00
Sites, in units of the cell vectors:
Pu 0.870 0.870 0.390
Th 0.379 0.379 0.862
Th 0.991 0.991 0.027
Th 0.508 0.508 0.477
Ni 0.942 0.437 0.185
Ni 0.434 0.938 0.689
Ni 0.437 0.437 0.185
Ni 0.938 0.938 0.689
Ni 0.188 0.188 0.437
Ni 0.688 0.688 0.936
Ni 0.437 0.942 0.185
Ni 0.938 0.434 0.689

No. 2
Material: PuTh2Ni9
Method: DFT, PBE
State: relaxed

Summary:
The calculation puts the volume at 15.0 A^3/atom. The space group is No. 166. The energy relative to the elements comes out at -0.334 eV per atom.

abc: 5.000 5.000 8.791
angles: 73.48 73.48 60.00
Sites, in units of the cell vectors:
Pu 0.000 0.000 0.000
Th 0.865 0.865 0.405
Th 0.135 0.135 0.595
Ni 0.667 0.667 0.999
Ni 0.333 0.333 0.001
Ni 0.500 0.500 0.500
Ni 0.418 0.418 0.243
Ni 0.920 0.418 0.243
Ni 0.418 0.920 0.243
Ni 0.582 0.582 0.757
Ni 0.582 0.080 0.757
Ni 0.080 0.582 0.757

No. 3
Material: Pu2Th2Ni15
Method: DFT, PBE
State: relaxed

Summary:
The calculation puts the volume at 13.9 A^3/atom. The space group is No. 166. The energy relative to the elements comes out at -0.225 eV per atom.

abc: 6.478 6.478 6.478
angles: 81.85 81.85 81.85
Sites, in units of the cell vectors:
Pu 0.089 0.089 0.089
Pu 0.911 0.911 0.911
Th 0.352 0.352 0.352
Th 0.648 0.648 0.648
Ni 0.500 0.000 0.000
Ni 0.000 0.000 0.500
Ni 0.000 0.500 0.000
Ni 0.000 0.681 0.319
Ni 0.681 0.319 0.000
Ni 0.319 0.000 0.681
Ni 0.319 0.681 0.000
Ni 0.681 0.000 0.319
Ni 0.000 0.319 0.681
Ni 0.163 0.658 0.658
Ni 0.658 0.658 0.163
Ni 0.658 0.163 0.658
Ni 0.837 0.342 0.342
Ni 0.342 0.342 0.837
Ni 0.342 0.837 0.342

No. 4
Material: PuThNi2
Method: DFT, PBE
State: relaxed

Summary:
The calculation puts the volume at 20.1 A^3/atom. The space group is No. 123. The energy relative to the elements comes out at -0.155 eV per atom.

abc: 3.464 4.815 4.815
angles: 90.00 90.00 90.00
Sites, in units of the cell vectors:
Ni 0.000 0.000 0.500
Ni 0.000 0.500 0.000
Th 0.500 0.000 0.000
Pu 0.500 0.500 0.500

No. 5
Material: Pu2ThNi
Method: DFT, PBE
State: relaxed

Summary:
The calculation puts the volume at 22.7 A^3/atom. The space group is No. 225. The energy relative to the elements comes out at 0.245 eV per atom. The calculation puts the energy above the lowest structure with this stoichiometry at 191.7 meV per atom.

abc: 5.045 5.045 5.045
angles: 60.00 60.00 60.00
Sites, in units of the cell vectors:
Ni 0.000 0.000 0.000
Th 0.500 0.500 0.500
Pu 0.250 0.250 0.250
Pu 0.750 0.750 0.750

No. 6
Material: PuTiNi2
Method: DFT, PBE
State: relaxed

Summary:
The calculation puts the volume at 16.3 A^3/atom. The space group is No. 225. The energy relative to the elements comes out at -0.044 eV per atom. The calculation puts the energy above the lowest structure with this stoichiometry at 200.1 meV per atom.

abc: 4.513 4.513 4.517
angles: 60.03 60.03 60.00
Sites, in units of the cell vectors:
Ni 0.750 0.750 0.749
Ni 0.250 0.250 0.251
Ti 0.500 0.500 0.500
Pu 0.000 0.000 0.000

No. 7
Material: PuTi2Ni
Method: DFT, PBE
State: relaxed

Summary:
The calculation puts the volume at 16.2 A^3/atom. The space group is No. 123. The energy relative to the elements comes out at 0.003 eV per atom. The calculation puts the energy above the lowest structure with this stoichiometry at 102.3 meV per atom.

abc: 3.021 4.629 4.629
angles: 90.00 90.00 90.00
Sites, in units of the cell vectors:
Ni 0.500 0.000 0.000
Ti 0.000 0.000 0.500
Ti 0.000 0.500 0.000
Pu 0.500 0.500 0.500

No. 8
Material: PuTi2Ni
Method: DFT, PBE
State: relaxed

Summary:
The calculation puts the volume at 16.9 A^3/atom. The space group is No. 123. The energy relative to the elements comes out at -0.100 eV per atom. The calculation puts the energy above the lowest structure with this stoichiometry at 0.0 meV per atom.

abc: 3.063 3.063 7.186
angles: 90.00 90.00 90.00
Sites, in units of the cell vectors:
Ni 0.500 0.500 0.000
Ti 0.000 0.000 0.795
Ti 0.000 0.000 0.205
Pu 0.500 0.500 0.500

No. 9
Material: PuTi2Ni
Method: DFT, PBE
State: relaxed

Summary:
The calculation puts the volume at 16.8 A^3/atom. The space group is No. 216. The energy relative to the elements comes out at 0.049 eV per atom. The calculation puts the energy above the lowest structure with this stoichiometry at 149.0 meV per atom.

abc: 4.560 4.560 4.561
angles: 60.00 60.00 60.00
Sites, in units of the cell vectors:
Pu 0.500 0.500 0.500
Ti 0.000 0.000 0.000
Ti 0.250 0.250 0.250
Ni 0.750 0.750 0.750

No. 10
Material: PuTi2Ni
Method: DFT, PBE
State: relaxed

Summary:
The calculation puts the volume at 17.1 A^3/atom. The space group is No. 166. The energy relative to the elements comes out at 0.234 eV per atom. The calculation puts the energy above the lowest structure with this stoichiometry at 333.6 meV per atom.

abc: 2.843 2.843 9.901
angles: 81.75 81.75 60.00
Sites, in units of the cell vectors:
Ni 0.500 0.500 0.500
Ti 0.098 0.098 0.707
Ti 0.902 0.902 0.293
Pu 0.000 0.000 0.000

No. 11
Material: PuTiNi2
Method: DFT, PBE
State: relaxed

Summary:
The calculation puts the volume at 16.0 A^3/atom. The space group is No. 123. The energy relative to the elements comes out at -0.244 eV per atom. The calculation puts the energy above the lowest structure with this stoichiometry at 0.0 meV per atom.

abc: 3.027 3.027 6.977
angles: 90.00 90.00 90.00
Sites, in units of the cell vectors:
Ni 0.000 0.000 0.806
Ni 0.000 0.000 0.194
Ti 0.500 0.500 0.000
Pu 0.500 0.500 0.500

No. 12
Material: PuTlNi
Method: DFT, PBE
State: relaxed

Summary:
The calculation puts the volume at 20.9 A^3/atom. The space group is No. 107. The energy relative to the elements comes out at 0.060 eV per atom.

abc: 3.264 3.264 6.331
angles: 104.94 104.94 90.00
Sites, in units of the cell vectors:
Ni 0.670 0.670 0.340
Tl 0.308 0.308 0.617
Pu 0.022 0.022 0.044

No. 13
Material: PuTlNi
Method: DFT, PBE
State: relaxed

Summary:
The calculation puts the volume at 22.3 A^3/atom. The space group is No. 63. The energy relative to the elements comes out at -0.078 eV per atom.

abc: 4.048 3.824 8.859
angles: 77.54 90.00 90.00
Sites, in units of the cell vectors:
Ni 0.750 0.459 0.083
Ni 0.250 0.541 0.917
Tl 0.750 0.298 0.404
Tl 0.250 0.702 0.596
Pu 0.750 0.086 0.827
Pu 0.250 0.914 0.173

No. 14
Material: PuTlNi
Method: DFT, PBE
State: relaxed

Summary:
The calculation puts the volume at 23.6 A^3/atom. The space group is No. 216. The energy relative to the elements comes out at 0.072 eV per atom.

abc: 4.641 4.641 4.641
angles: 60.00 60.00 60.00
Sites, in units of the cell vectors:
Ni 0.250 0.250 0.250
Tl 0.500 0.500 0.500
Pu 0.000 0.000 0.000

No. 15
Material: Pu2TlNi
Method: DFT, PBE
State: relaxed

Summary:
The calculation puts the volume at 25.5 A^3/atom. The space group is No. 166. The energy relative to the elements comes out at 0.096 eV per atom. The calculation puts the energy above the lowest structure with this stoichiometry at 129.2 meV per atom.

abc: 3.657 3.657 9.051
angles: 78.35 78.35 60.00
Sites, in units of the cell vectors:
Ni 0.000 0.000 0.000
Tl 0.500 0.500 0.500
Pu 0.268 0.268 0.197
Pu 0.732 0.732 0.803

No. 16
Material: Pu2TlNi
Method: DFT, PBE
State: relaxed

Summary:
The calculation puts the volume at 22.9 A^3/atom. The space group is No. 123. The energy relative to the elements comes out at -0.033 eV per atom. The calculation puts the energy above the lowest structure with this stoichiometry at 0.0 meV per atom.

abc: 3.284 3.284 8.501
angles: 90.00 90.00 90.00
Sites, in units of the cell vectors:
Ni 0.500 0.500 0.000
Tl 0.500 0.500 0.500
Pu 0.000 0.000 0.797
Pu 0.000 0.000 0.203

No. 17
Material: TmPuNi2
Method: DFT, PBE
State: relaxed

Summary:
The calculation puts the volume at 18.7 A^3/atom. The space group is No. 225. The energy relative to the elements comes out at -0.197 eV per atom. The calculation puts the energy above the lowest structure with this stoichiometry at 36.7 meV per atom.

abc: 4.730 4.730 4.734
angles: 60.02 60.02 60.00
Sites, in units of the cell vectors:
Ni 0.749 0.749 0.752
Ni 0.251 0.251 0.248
Tm 0.500 0.500 0.500
Pu 0.000 0.000 0.000

No. 18
Material: TmPuNi4
Method: DFT, PBE
State: relaxed

Summary:
The calculation puts the volume at 15.1 A^3/atom. The space group is No. 216. The energy relative to the elements comes out at -0.352 eV per atom.

abc: 5.041 5.041 5.041
angles: 60.00 60.00 60.00
Sites, in units of the cell vectors:
Ni 0.625 0.625 0.124
Ni 0.625 0.124 0.625
Ni 0.625 0.625 0.625
Ni 0.124 0.625 0.625
Tm 0.250 0.250 0.250
Pu 0.000 0.000 0.000

No. 19
Material: TmPuNi
Method: DFT, PBE
State: relaxed

Summary:
The calculation puts the volume at 23.8 A^3/atom. The space group is No. 160. The energy relative to the elements comes out at 0.047 eV per atom. The calculation puts the energy above the lowest structure with this stoichiometry at 151.5 meV per atom.

abc: 3.561 3.561 6.827
angles: 74.88 74.88 60.00
Sites, in units of the cell vectors:
Pu 0.347 0.347 0.960
Tm 0.531 0.531 0.406
Ni 0.107 0.107 0.678

No. 20
Material: TmPu2Ni
Method: DFT, PBE
State: relaxed

Summary:
The calculation puts the volume at 23.7 A^3/atom. The space group is No. 123. The energy relative to the elements comes out at 0.073 eV per atom.

abc: 3.453 3.453 7.953
angles: 90.00 90.00 90.00
Sites, in units of the cell vectors:
Ni 0.500 0.500 0.000
Tm 0.500 0.500 0.500
Pu 0.000 0.000 0.806
Pu 0.000 0.000 0.194

No. 21
Material: TmPuNi10
Method: DFT, PBE
State: relaxed

Summary:
The calculation puts the volume at 13.5 A^3/atom. The space group is No. 47. The energy relative to the elements comes out at -0.264 eV per atom.

abc: 3.955 4.859 8.434
angles: 90.00 90.00 90.00
Sites, in units of the cell vectors:
Tm 0.000 0.500 0.500
Pu 0.000 0.000 0.000
Ni 0.000 0.000 0.333
Ni 0.000 0.500 0.833
Ni 0.000 0.500 0.167
Ni 0.000 0.000 0.667
Ni 0.500 0.000 0.500
Ni 0.500 0.500 0.000
Ni 0.500 0.250 0.251
Ni 0.500 0.750 0.749
Ni 0.500 0.750 0.251
Ni 0.500 0.250 0.749

No. 22
Material: Tm2Pu2Ni15
Method: DFT, PBE
State: relaxed

Summary:
The calculation puts the volume at 13.5 A^3/atom. The space group is No. 166. The energy relative to the elements comes out at -0.189 eV per atom.

abc: 6.409 6.409 6.409
angles: 81.91 81.91 81.91
Sites, in units of the cell vectors:
Tm 0.357 0.357 0.357
Tm 0.643 0.643 0.643
Pu 0.089 0.089 0.089
Pu 0.911 0.911 0.911
Ni 0.500 0.000 0.000
Ni 0.000 0.000 0.500
Ni 0.000 0.500 0.000
Ni 0.000 0.679 0.321
Ni 0.679 0.321 0.000
Ni 0.321 0.000 0.679
Ni 0.321 0.679 0.000
Ni 0.679 0.000 0.321
Ni 0.000 0.321 0.679
Ni 0.165 0.657 0.657
Ni 0.657 0.657 0.165
Ni 0.657 0.165 0.657
Ni 0.835 0.343 0.343
Ni 0.343 0.343 0.835
Ni 0.343 0.835 0.343

No. 23
Material: TmPuNi2
Method: DFT, PBE
State: relaxed

Summary:
The calculation puts the volume at 18.5 A^3/atom. The space group is No. 123. The energy relative to the elements comes out at -0.234 eV per atom. The calculation puts the energy above the lowest structure with this stoichiometry at 0.0 meV per atom.

abc: 3.228 4.791 4.791
angles: 90.00 90.00 90.00
Sites, in units of the cell vectors:
Ni 0.000 0.000 0.500
Ni 0.000 0.500 0.000
Tm 0.500 0.500 0.500
Pu 0.500 0.000 0.000

No. 24
Material: TmPuNi
Method: DFT, PBE
State: relaxed

Summary:
The calculation puts the volume at 24.6 A^3/atom. The space group is No. 156. The energy relative to the elements comes out at 0.030 eV per atom. The calculation puts the energy above the lowest structure with this stoichiometry at 134.5 meV per atom.

abc: 3.685 3.685 6.283
angles: 90.00 90.00 120.00
Sites, in units of the cell vectors:
Ni 0.667 0.333 0.330
Tm 0.000 0.000 0.072
Pu 0.333 0.667 0.597

No. 25
Material: TmPu3Ni8
Method: DFT, PBE
State: relaxed

Summary:
The calculation puts the volume at 15.1 A^3/atom. The space group is No. 160. The energy relative to the elements comes out at -0.320 eV per atom.

abc: 5.040 5.040 8.719
angles: 73.20 73.20 60.00
Sites, in units of the cell vectors:
Tm 0.876 0.876 0.371
Pu 0.373 0.373 0.880
Pu 0.003 0.003 0.990
Pu 0.497 0.497 0.509
Ni 0.934 0.437 0.191
Ni 0.440 0.938 0.684
Ni 0.437 0.437 0.191
Ni 0.938 0.938 0.684
Ni 0.188 0.188 0.437
Ni 0.687 0.687 0.938
Ni 0.437 0.934 0.191
Ni 0.938 0.440 0.684

No. 26
Material: TmPuNi
Method: DFT, PBE
State: relaxed

Summary:
The calculation puts the volume at 22.3 A^3/atom. The space group is No. 107. The energy relative to the elements comes out at -0.105 eV per atom. The calculation puts the energy above the lowest structure with this stoichiometry at 0.0 meV per atom.

abc: 3.342 3.342 6.438
angles: 105.04 105.04 90.00
Sites, in units of the cell vectors:
Ni 0.673 0.673 0.346
Tm 0.300 0.300 0.599
Pu 0.027 0.027 0.054

No. 27
Material: PuUNi
Method: DFT, PBE
State: relaxed

Summary:
The calculation puts the volume at 18.6 A^3/atom. The space group is No. 107. The energy relative to the elements comes out at 0.000 eV per atom. The calculation puts the energy above the lowest structure with this stoichiometry at 0.0 meV per atom.

abc: 3.508 3.508 5.160
angles: 109.87 109.87 90.00
Sites, in units of the cell vectors:
Ni 0.327 0.327 0.653
U 0.675 0.675 0.351
Pu 0.998 0.998 0.996